Li2NbBRh: optimized geometry, GGA-PBEsol.

Calculated values
Formation energy   1222 meV/atom
Density   4.49 g/cm³
Raw total energy   -4.760 eV/atom

Cell lengths 4.1324, 4.1324, 4.7719 Å; angles 90.00, 90.00, 90.00 degrees
With the nearest neighbours (Å) after each atom.
Space group P4/mmm (No. 123)
Inequivalent atoms, fractional coordinates:
Li  0.0000  0.5000  0.0000 (multiplicity 2)  2 Rh 2.07
Nb  0.0000  0.0000  0.5000 (multiplicity 1)  2 Rh 2.39
B  0.5000  0.5000  0.5000 (multiplicity 1)  4 Nb 2.92, 8 Li 3.16
Rh  0.0000  0.0000  0.0000 (multiplicity 1)  4 Li 2.07